The following is a DFT calculation (GGA+U) of crystalline ZrCoO at its relaxed geometry.

```
data_ZrCoO
_chemical_formula_sum 'Zr1 Co1 O1'
_space_group_name_H-M_alt 'P 4/m m m'
_space_group_IT_number 123
_space_group_name_Hall '-P 4 2'
_cell_length_a 3.144
_cell_length_b 3.144
_cell_length_c 4.022
_cell_angle_alpha 90.00
_cell_angle_beta 90.00
_cell_angle_gamma 90.00
loop_
_atom_site_label
_atom_site_fract_x
_atom_site_fract_y
_atom_site_fract_z
_atom_site_occupancy
Zr1 0.000 0.000 0.000 1
Co1 0.500 0.500 0.500 1
O1 0.500 0.500 0.000 1
```

Output
Theoretical density (g/cm³): 6.94
Uncorrected energy (eV per atom): -7.434